No. 1
Material: CaPmHo2In4
Method: DFT, PBE
State: relaxed

Unit cell a=9.332 b=9.332 c=9.332 alpha=33.35 beta=33.35 gamma=33.35
Element x y z (fractional)
Ca 0.000 0.000 0.000
Pm 0.500 0.500 0.500
Ho 0.252 0.252 0.252
Ho 0.748 0.748 0.748
In 0.125 0.125 0.125
In 0.375 0.375 0.375
In 0.625 0.625 0.625
In 0.875 0.875 0.875

Values from the calculation:
**Energy of formation from the pure elements**: -459.3 meV/atom
**Fermi-level density of states**: 0.540 states/eV per atom
**VASP energy**: -3.8170 eV/atom


No. 2
Material: CaPrHoIn
Method: DFT, PBE
State: relaxed

Unit cell a=7.871 b=7.871 c=7.871 alpha=90.00 beta=90.00 gamma=90.00
Element x y z (fractional)
Ca 0.000 0.000 0.000
Ca 0.000 0.500 0.500
Ca 0.500 0.000 0.500
Ca 0.500 0.500 0.000
Pr 0.250 0.250 0.250
Pr 0.250 0.750 0.750
Pr 0.750 0.250 0.750
Pr 0.750 0.750 0.250
Ho 0.250 0.250 0.750
Ho 0.250 0.750 0.250
Ho 0.750 0.250 0.250
Ho 0.750 0.750 0.750
In 0.000 0.000 0.500
In 0.000 0.500 0.000
In 0.500 0.000 0.000
In 0.500 0.500 0.500

Values from the calculation:
**Energy of formation from the pure elements**: -160.9 meV/atom
**Fermi-level density of states**: 0.777 states/eV per atom
**VASP energy**: -3.6852 eV/atom


No. 3
Material: CaHoInRh
Method: DFT, PBE
State: relaxed

Unit cell a=7.195 b=7.195 c=7.195 alpha=90.00 beta=90.00 gamma=90.00
Element x y z (fractional)
Ca 0.000 0.000 0.000
Ca 0.000 0.500 0.500
Ca 0.500 0.000 0.500
Ca 0.500 0.500 0.000
Ho 0.000 0.000 0.500
Ho 0.000 0.500 0.000
Ho 0.500 0.000 0.000
Ho 0.500 0.500 0.500
In 0.250 0.250 0.750
In 0.250 0.750 0.250
In 0.750 0.250 0.250
In 0.750 0.750 0.750
Rh 0.250 0.250 0.250
Rh 0.250 0.750 0.750
Rh 0.750 0.250 0.750
Rh 0.750 0.750 0.250

Values from the calculation:
**Energy of formation from the pure elements**: -441.1 meV/atom
**Fermi-level density of states**: 0.884 states/eV per atom
**VASP energy**: -4.6084 eV/atom


No. 4
Material: Ca2HoInSe5
Method: DFT, PBE
State: relaxed

Unit cell a=9.175 b=9.175 c=12.964 alpha=90.00 beta=90.00 gamma=154.14
Element x y z (fractional)
Ca 0.112 0.888 0.500
Ca 0.135 0.865 0.142
Ca 0.865 0.135 0.642
Ca 0.888 0.112 0.000
Ho 0.213 0.787 0.850
Ho 0.787 0.213 0.350
In 0.454 0.546 0.271
In 0.546 0.454 0.771
Se 0.050 0.950 0.895
Se 0.283 0.717 0.502
Se 0.310 0.690 0.197
Se 0.367 0.633 0.828
Se 0.493 0.507 0.591
Se 0.507 0.493 0.091
Se 0.633 0.367 0.328
Se 0.690 0.310 0.697
Se 0.717 0.283 0.002
Se 0.950 0.050 0.395

Values from the calculation:
**Energy relative to the elements, uncorrected**: -1507.8 meV per atom
**VASP energy**: -4.7014 eV/atom


No. 5
Material: CaSmHoIn
Method: DFT, PBE
State: relaxed

Unit cell a=7.811 b=7.811 c=7.811 alpha=90.00 beta=90.00 gamma=90.00
Element x y z (fractional)
Ca 0.000 0.000 0.000
Ca 0.000 0.500 0.500
Ca 0.500 0.000 0.500
Ca 0.500 0.500 0.000
Sm 0.250 0.250 0.750
Sm 0.250 0.750 0.250
Sm 0.750 0.250 0.250
Sm 0.750 0.750 0.750
Ho 0.250 0.250 0.250
Ho 0.250 0.750 0.750
Ho 0.750 0.250 0.750
Ho 0.750 0.750 0.250
In 0.000 0.000 0.500
In 0.000 0.500 0.000
In 0.500 0.000 0.000
In 0.500 0.500 0.500

Values from the calculation:
**Energy of formation from the pure elements**: -148.4 meV/atom
**Fermi-level density of states**: 0.867 states/eV per atom
**VASP energy**: -3.6576 eV/atom


No. 6
Material: CaHoInSn
Method: DFT, PBE
State: relaxed

Unit cell a=7.592 b=7.592 c=7.592 alpha=90.00 beta=90.00 gamma=90.00
Element x y z (fractional)
Ca 0.000 0.000 0.000
Ca 0.000 0.500 0.500
Ca 0.500 0.000 0.500
Ca 0.500 0.500 0.000
Ho 0.000 0.000 0.500
Ho 0.000 0.500 0.000
Ho 0.500 0.000 0.000
Ho 0.500 0.500 0.500
In 0.250 0.250 0.250
In 0.250 0.750 0.750
In 0.750 0.250 0.750
In 0.750 0.750 0.250
Sn 0.250 0.250 0.750
Sn 0.250 0.750 0.250
Sn 0.750 0.250 0.250
Sn 0.750 0.750 0.750

Values from the calculation:
**Energy of formation from the pure elements**: -489.9 meV/atom
**Fermi-level density of states**: 0.474 states/eV per atom
**VASP energy**: -3.8200 eV/atom